Material: HfTaRh2
Method: DFT, PBE
State: optimized geometry

Output
E above lowest polymorph = 36 meV/atom
Energy of formation = -56 kJ/mol of atoms
D(E_F) = 4.99 states/eV per cell

The structure in extended XYZ format:
```
4
Lattice="3.768 0.000 0.000 0.000 4.204 0.000 0.000 0.000 4.204" Properties=species:S:1:pos:R:3 pbc="T T T"
Rh 0.000 0.000 2.102
Rh 0.000 2.102 0.000
Hf 1.884 2.102 2.102
Ta 1.884 0.000 0.000
```

***

Material: PrScCdHg
Method: DFT, PBE
State: optimized geometry

Output
Energy of formation = -33 kJ/mol of atoms
D(E_F) = 4.02 states/eV per cell

The structure in extended XYZ format:
```
4
Lattice="-2.658 3.890 -2.337 -1.878 -0.653 -4.868 -5.180 -0.454 -0.780" Properties=species:S:1:pos:R:3 pbc="T T T"
Pr -4.858 1.391 -3.993
Sc 0.000 0.000 0.000
Hg -2.429 0.696 -1.996
Cd -7.287 2.087 -5.989
```

***

Material: Sc2ReO6
Method: DFT, PBE
State: optimized geometry

Output
E above lowest polymorph = 97 meV/atom
D(E_F) = 4.04 states/eV per cell
Uncorrected formation energy = -2.51 eV/atom

The structure in extended XYZ format:
```
9
Lattice="-3.330 1.323 -2.572 0.919 -3.987 -3.240 -3.314 -0.589 3.988" Properties=species:S:1:pos:R:3 pbc="T T T"
Sc -2.157 -2.193 -2.116
Sc -3.568 -1.060 0.293
Re 0.000 0.000 0.000
O -4.159 -2.172 -1.414
O -0.193 -2.429 -2.881
O -3.121 -0.079 2.120
O -2.219 -0.235 -2.930
O -1.566 -1.081 -0.409
O -3.523 0.812 -0.703
```

***

Material: AcSi8Ni2Pt
Method: DFT, PBE
State: optimized geometry

Output
D(E_F) = 6.41 states/eV per cell
Uncorrected formation energy = -0.16 eV/atom

The structure in extended XYZ format:
```
12
Lattice="-0.464 -4.305 2.697 3.855 -1.600 2.934 -2.233 2.787 8.889" Properties=species:S:1:pos:R:3 pbc="T T T"
Ac 0.579 -1.559 7.260
Si -0.935 0.952 6.184
Si 0.439 -2.575 4.187
Si 2.093 -4.070 8.336
Si 1.511 -4.350 5.904
Si -0.353 1.232 8.616
Si 2.933 -2.200 5.129
Si -1.776 -0.918 9.391
Si 0.719 -0.542 10.333
Ni -0.037 -0.318 4.310
Ni 1.194 -2.799 10.210
Pt 0.000 0.000 0.000
```

***

Material: NbV4Mo
Method: DFT, PBE
State: optimized geometry

Output
E above lowest polymorph = 0 meV/atom
Energy of formation = -5 kJ/mol of atoms
D(E_F) = 4.10 states/eV per cell

The structure in extended XYZ format:
```
6
Lattice="-4.265 -2.627 0.113 -1.407 -2.666 -4.002 0.144 -5.006 0.147" Properties=species:S:1:pos:R:3 pbc="T T T"
Mo -1.382 -2.575 -0.936
Nb 0.000 0.000 0.000
V -3.527 -3.934 -2.412
V -2.752 -5.104 -0.338
V -3.455 -6.436 -2.339
V -1.323 -5.123 -2.395
```

***

Material: Ta2TcSe
Method: DFT, PBE
State: optimized geometry

Output
D(E_F) = 2.36 states/eV per cell
Uncorrected formation energy = -0.04 eV/atom

The structure in extended XYZ format:
```
4
Lattice="-0.807 -4.312 -0.964 2.579 -0.815 1.487 -1.417 -0.811 4.814" Properties=species:S:1:pos:R:3 pbc="T T T"
Se 0.028 -3.238 3.997
Ta -1.265 -0.840 4.821
Ta -0.103 -2.610 1.298
Tc 0.859 -0.873 3.188
```

***

Which value of D(E_F) does entry 3 give? 4.04 states/eV per cell

***

What is the formula in the fourth record? AcSi8Ni2Pt